Entry 1:
This record from the Alexandria database describes NbIr2Cl after structural relaxation. The functional is GGA-PBEsol.

a b c (Å): 6.206 6.206 6.206
angles (deg): 122.03 122.03 86.52
Sites, in units of the cell vectors:
Nb: 0.000 0.000 0.000
Nb: 0.750 0.250 0.500
Ir: 0.141 0.125 0.516
Ir: 0.375 0.859 0.984
Ir: 0.609 0.625 0.484
Ir: 0.875 0.391 0.016
Cl: 0.250 0.750 0.500
Cl: 0.500 0.500 0.000

## Properties
- calculated total energy (eV/atom) = -7.3424
- M_tot (μB per formula unit) = 0.0
- calculated volume (Å³/cell) = 163
- E_form (uncorrected) (eV/atom) = 0.777

Entry 2:
This record from the Alexandria database describes LaNdHg2 after structural relaxation. The functional is GGA-PBEsol.

a b c (Å): 5.371 5.371 5.371
angles (deg): 60.00 60.00 60.00
Sites, in units of the cell vectors:
La: 0.000 0.000 0.000
Nd: 0.500 0.500 0.500
Hg: 0.250 0.250 0.250
Hg: 0.750 0.750 0.750

## Properties
- calculated total energy (eV/atom) = -3.4560
- M_tot (μB per formula unit) = 0.7
- calculated volume (Å³/cell) = 110

Entry 3:
This record from the Alexandria database describes ZrScHg2 after structural relaxation. The functional is GGA-PBEsol.

a b c (Å): 4.900 4.900 4.900
angles (deg): 60.00 60.00 60.00
Sites, in units of the cell vectors:
Zr: 0.000 0.000 0.000
Sc: 0.500 0.500 0.500
Hg: 0.250 0.250 0.250
Hg: 0.750 0.750 0.750

## Properties
- calculated total energy (eV/atom) = -4.5753
- M_tot (μB per formula unit) = 0.8
- calculated volume (Å³/cell) = 83
- polymorph energy (0 for the lowest one) (meV/atom) = 25

Entry 4:
This record from the Alexandria database describes Lu2ReC2 after structural relaxation. The functional is GGA-PBEsol.

a b c (Å): 6.402 4.913 9.552
angles (deg): 90.00 90.00 90.00
Sites, in units of the cell vectors:
Lu: 0.037 0.250 0.217
Lu: 0.174 0.250 0.559
Lu: 0.326 0.750 0.059
Lu: 0.463 0.750 0.717
Lu: 0.537 0.250 0.283
Lu: 0.674 0.250 0.941
Lu: 0.826 0.750 0.441
Lu: 0.963 0.750 0.783
Re: 0.211 0.250 0.872
Re: 0.289 0.750 0.372
Re: 0.711 0.250 0.628
Re: 0.789 0.750 0.128
C: 0.057 0.750 0.241
C: 0.169 0.750 0.558
C: 0.331 0.250 0.058
C: 0.443 0.250 0.741
C: 0.557 0.750 0.259
C: 0.669 0.750 0.942
C: 0.831 0.250 0.442
C: 0.943 0.250 0.759

## Properties
- calculated total energy (eV/atom) = -8.9895
- M_tot (μB per formula unit) = 0.0
- calculated volume (Å³/cell) = 300